The following is a GGA-PBEsol calculation of a relaxed structure of K2ScPt, from the Alexandria database.

Unit cell a=3.214 b=5.596 c=6.370 alpha=116.06 beta=90.00 gamma=90.00
Positions (direct):
K: 0.000 0.000 0.500
K: 0.000 0.500 0.500
Pt: 0.500 0.000 0.000
Sc: 0.500 0.500 0.000

Calculated values
Energy above the most stable polymorph in this dataset, meV/atom: 678.2
Calculated formation energy, meV/atom: 487
Space group: Cmmm

=====

The following is a GGA-PBEsol calculation of a relaxed structure of BaCu9Ge4, from the Alexandria database.

Unit cell a=8.233 b=8.311 c=8.233 alpha=60.31 beta=90.00 gamma=119.69
Positions (direct):
Ba: 0.250 0.500 0.750
Ba: 0.750 0.500 0.250
Cu: 0.061 0.356 0.205
Cu: 0.705 0.644 0.561
Cu: 0.939 0.644 0.795
Cu: 0.439 0.644 0.061
Cu: 0.205 0.644 0.295
Cu: 0.561 0.356 0.939
Cu: 0.795 0.356 0.705
Cu: 0.295 0.356 0.439
Cu: 0.438 0.000 0.296
Cu: 0.796 0.000 0.938
Cu: 0.000 0.000 0.500
Cu: 0.500 0.000 0.000
Cu: 0.562 0.000 0.704
Cu: 0.704 0.000 0.438
Cu: 0.296 0.000 0.562
Cu: 0.938 0.000 0.204
Cu: 0.062 0.000 0.796
Cu: 0.204 0.000 0.062
Ge: 0.800 0.242 0.058
Ge: 0.558 0.758 0.300
Ge: 0.200 0.758 0.942
Ge: 0.700 0.758 0.800
Ge: 0.058 0.758 0.442
Ge: 0.300 0.242 0.200
Ge: 0.942 0.242 0.558
Ge: 0.442 0.242 0.700

Calculated values
Calculated formation energy, meV/atom: -184
Space group: I4/mcm

=====

The following is a GGA-PBEsol calculation of a relaxed structure of Be2Mo2Os, from the Alexandria database.

Unit cell a=3.503 b=3.503 c=5.684 alpha=107.95 beta=107.95 gamma=90.00
Site moments in Bohr magnetons follow the coordinates.
Positions (direct):
Be: 0.410 0.410 0.820  -0.01
Be: 0.590 0.590 0.180  -0.01
Mo: 0.250 0.750 0.500  0.00
Mo: 0.750 0.250 0.500  0.00
Os: 0.000 0.000 0.000  0.46

Calculated values
Energy above the most stable polymorph in this dataset, meV/atom: 638.5
Calculated formation energy, meV/atom: 490
Space group: I4/mmm

=====

The following is a GGA-PBEsol calculation of a relaxed structure of BeCo2Se, from the Alexandria database.

Unit cell a=2.846 b=2.847 c=5.348 alpha=90.00 beta=90.01 gamma=90.00
Site moments in Bohr magnetons follow the coordinates.
Positions (direct):
Be: 0.500 0.500 0.500  -0.02
Co: 0.000 0.000 0.732  0.69
Co: 0.000 0.000 0.268  0.69
Se: 0.500 0.500 0.000  0.01

Calculated values
Energy above the most stable polymorph in this dataset, meV/atom: 36.7
Space group: P4/mmm
Raw formation energy, kJ/mol of atoms: 4

=====

The following is a GGA-PBEsol calculation of a relaxed structure of CaCu2Ag, from the Alexandria database.

Unit cell a=3.287 b=3.431 c=6.100 alpha=90.00 beta=90.00 gamma=90.00
Positions (direct):
Ag: 0.500 0.500 0.500
Ca: 0.500 0.500 0.000
Cu: 0.000 0.000 0.299
Cu: 0.000 0.000 0.701

Calculated values
Calculated formation energy, meV/atom: 45
Space group: Pmmm

=====

The following is a GGA-PBEsol calculation of a relaxed structure of Y2ZrHg, from the Alexandria database.

Unit cell a=4.478 b=4.478 c=5.786 alpha=112.76 beta=112.76 gamma=90.00
Positions (direct):
Hg: 0.250 0.750 0.500
Y: 0.000 0.000 0.000
Y: 0.750 0.250 0.500
Zr: 0.500 0.500 0.000

Calculated values
Calculated formation energy, meV/atom: -116
Space group: I-4m2